# 1
AgAuSe | PBE | optimized geometry

The structure in CIF format:
```
data_AgAuSe
_cell_length_a 4.6775
_cell_length_b 8.3397
_cell_length_c 7.6336
_cell_angle_alpha 90.00
_cell_angle_beta 90.00
_cell_angle_gamma 90.00
_space_group_name_H-M_alt 'C m c m'
_space_group_IT_number 63
_space_group_name_Hall '-C 2c 2'
loop_
_atom_site_label
_atom_site_type_symbol
_atom_site_fract_x
_atom_site_fract_y
_atom_site_fract_z
Ag1 Ag 0.0000 0.0249 0.2500
Au1 Au 0.0000 0.5000 0.0000
Se1 Se 0.0000 0.3114 0.7500
```

## Properties
Uncorrected formation energy   -0.07 eV per atom
Crystal system   orthorhombic

# 2
Ta3TiAg | PBE | optimized geometry

The structure in CIF format:
```
data_Ta3TiAg
_cell_length_a 4.8820
_cell_length_b 4.8820
_cell_length_c 4.8820
_cell_angle_alpha 90.00
_cell_angle_beta 90.00
_cell_angle_gamma 90.00
_space_group_name_H-M_alt 'P m -3 m'
_space_group_IT_number 221
_space_group_name_Hall '-P 4 2 3'
loop_
_atom_site_label
_atom_site_type_symbol
_atom_site_fract_x
_atom_site_fract_y
_atom_site_fract_z
Ta1 Ta 0.0000 0.0000 0.5000
Ti1 Ti 0.5000 0.5000 0.5000
Ag1 Ag 0.0000 0.0000 0.0000
```

## Properties
Formation energy from the elements   1963 meV per atom
Crystal system   cubic

# 3
Pr7Ga2Cu2 | PBE | optimized geometry

The structure in CIF format:
```
data_Pr7Ga2Cu2
_cell_length_a 8.0222
_cell_length_b 11.3062
_cell_length_c 7.1832
_cell_angle_alpha 90.00
_cell_angle_beta 90.00
_cell_angle_gamma 90.00
_space_group_name_H-M_alt 'C m m m'
_space_group_IT_number 65
_space_group_name_Hall '-C 2 2'
loop_
_atom_site_label
_atom_site_type_symbol
_atom_site_fract_x
_atom_site_fract_y
_atom_site_fract_z
Pr1 Pr 0.0000 0.0000 0.0000
Pr2 Pr 0.0000 0.5000 0.2599
Pr3 Pr 0.2500 0.2500 0.2719
Ga1 Ga 0.1593 0.0000 0.5000
Cu1 Cu 0.0000 0.2912 0.0000
```

## Properties
Formation energy from the elements   -68 meV per atom
Crystal system   orthorhombic

# 4
LaY4Se5 | PBE | optimized geometry

The structure in CIF format:
```
data_LaY4Se5
_cell_length_a 13.7394
_cell_length_b 4.1225
_cell_length_c 10.1413
_cell_angle_alpha 90.00
_cell_angle_beta 119.71
_cell_angle_gamma 90.00
_space_group_name_H-M_alt 'C 1 2/m 1'
_space_group_IT_number 12
loop_
_space_group_symop_operation_xyz
'x,y,z'
'-x,-y,-z'
'-x,y,-z'
'x,-y,z'
'x+1/2,y+1/2,z'
'-x+1/2,-y+1/2,-z'
'-x+1/2,y+1/2,-z'
'x+1/2,-y+1/2,z'
loop_
_atom_site_label
_atom_site_type_symbol
_atom_site_fract_x
_atom_site_fract_y
_atom_site_fract_z
La1 La 0.0000 0.0000 0.0000
Y1 Y 0.0969 0.5000 0.3954
Y2 Y 0.2039 0.0000 0.7976
Se1 Se 0.0000 0.0000 0.5000
Se2 Se 0.1074 0.5000 0.8948
Se3 Se 0.2046 0.0000 0.3113
```

## Properties
Uncorrected formation energy   -1.81 eV per atom
Crystal system   monoclinic

# 5
CaBePt2 | PBE | optimized geometry

The structure in CIF format:
```
data_CaBePt2
_cell_length_a 7.2177
_cell_length_b 4.1567
_cell_length_c 5.5529
_cell_angle_alpha 90.00
_cell_angle_beta 115.58
_cell_angle_gamma 90.00
_space_group_name_H-M_alt 'C 1 2/m 1'
_space_group_IT_number 12
loop_
_space_group_symop_operation_xyz
'x,y,z'
'-x,-y,-z'
'-x,y,-z'
'x,-y,z'
'x+1/2,y+1/2,z'
'-x+1/2,-y+1/2,-z'
'-x+1/2,y+1/2,-z'
'x+1/2,-y+1/2,z'
loop_
_atom_site_label
_atom_site_type_symbol
_atom_site_fract_x
_atom_site_fract_y
_atom_site_fract_z
Ca1 Ca 0.0000 0.0000 0.0000
Be1 Be 0.0000 0.5000 0.5000
Pt1 Pt 0.2036 0.0000 0.6118
```

## Properties
Formation energy from the elements   -638 meV per atom
Crystal system   monoclinic

# 6
Sr3ScCo | PBE | optimized geometry

The structure in CIF format:
```
data_Sr3ScCo
_cell_length_a 5.7068
_cell_length_b 5.7068
_cell_length_c 5.7068
_cell_angle_alpha 90.00
_cell_angle_beta 90.00
_cell_angle_gamma 90.00
_space_group_name_H-M_alt 'P m -3 m'
_space_group_IT_number 221
_space_group_name_Hall '-P 4 2 3'
loop_
_atom_site_label
_atom_site_type_symbol
_atom_site_fract_x
_atom_site_fract_y
_atom_site_fract_z
Sr1 Sr 0.0000 0.0000 0.5000
Sc1 Sc 0.5000 0.5000 0.5000
Co1 Co 0.0000 0.0000 0.0000
```

## Properties
Formation energy from the elements   498 meV per atom
Crystal system   cubic